Below is a relaxed Tb5SmY5 crystal, with properties calculated at the PBE level.

Properties
**Space group**: C2/m, No. 12
**Energy above the lowest structure with this stoichiometry**: 62 meV/atom
**DFT formation energy**: 0.363 eV/atom
**Final energy**: -5.109 eV/atom
**D(E_F)**: 17.4 states/eV/f.u.
**Magnetization**: 0.22 μB per formula unit
**Crystal system**: monoclinic

```
Tb5SmY5
1.0
8.076 -2.827 0.000
8.076 2.827 0.000
-7.072 0.000 8.030
Tb Sm Y
5 1 5
direct
0.000 0.000 0.000
0.316 0.316 0.013
0.316 0.316 0.619
0.684 0.684 0.381
0.684 0.684 0.987
0.500 0.500 0.000
0.000 0.000 0.312
0.000 0.000 0.688
0.248 0.248 0.248
0.500 0.500 0.500
0.752 0.752 0.752
```